--- w ---
# Mg14ZrCu, optimized geometry, DFT PBE
# Volume (Å³/atom): 21.78
# Magnetization (μB/atom): 0.00
data_Mg14ZrCu
_symmetry_space_group_name_H-M 'P -6 m 2'
_symmetry_Int_Tables_number 187
_symmetry_space_group_name_Hall 'P -6 2'
_cell_length_a 6.3403
_cell_length_b 6.3403
_cell_length_c 10.0096
_cell_angle_alpha 90.00
_cell_angle_beta 90.00
_cell_angle_gamma 120.00
loop_
_atom_site_label
_atom_site_type_symbol
_atom_site_fract_x
_atom_site_fract_y
_atom_site_fract_z
_atom_site_occupancy
Mg1 Mg 0.0000 0.0000 0.2390 1
Mg2 Mg 0.0125 0.5063 0.2564 1
Mg3 Mg 0.3283 0.1642 0.5000 1
Mg4 Mg 0.3439 0.1720 0.0000 1
Zr1 Zr 0.3333 0.6667 0.0000 1
Cu1 Cu 0.3333 0.6667 0.5000 1

---

--- x ---
# Mg14ZrCu, optimized geometry, DFT PBE
# Volume (Å³/atom): 21.81
# Magnetization (μB/atom): 0.00
data_Mg14ZrCu
_symmetry_space_group_name_H-M 'A m m 2'
_symmetry_Int_Tables_number 38
_cell_length_a 10.053
_cell_length_b 6.257
_cell_length_c 11.096
_cell_angle_alpha 90.00
_cell_angle_beta 90.00
_cell_angle_gamma 90.00
loop_
_symmetry_equiv_pos_as_xyz
'x,y,z'
'-x,-y,z'
'-x,y,z'
'x,-y,z'
'x,y+1/2,z+1/2'
'-x,-y+1/2,z+1/2'
'-x,y+1/2,z+1/2'
'x,-y+1/2,z+1/2'
loop_
_atom_site_label
_atom_site_type_symbol
_atom_site_fract_x
_atom_site_fract_y
_atom_site_fract_z
_atom_site_occupancy
Mg1 Mg 0.000 0.000 0.000 1
Mg2 Mg 0.000 0.000 0.498 1
Mg3 Mg 0.000 0.245 0.249 1
Mg4 Mg 0.248 0.000 0.663 1
Mg5 Mg 0.259 0.250 0.416 1
Mg6 Mg 0.278 0.000 0.153 1
Mg7 Mg 0.500 0.238 0.762 1
Zr1 Zr 0.500 0.000 0.510 1
Cu1 Cu 0.500 0.000 0.987 1

---

Energies relative to the most stable structure, in meV/atom: w 0; x 7.